No. 1
A plane-wave DFT calculation with SCAN was carried out for a crystal of TiCuPS2 relaxed with PBEsol.

a = 4.403 Å, b = 4.403 Å, c = 4.408 Å
α = 90.00°, β = 90.00°, γ = 90.00°
Each line ends with the local moment (μB).
Fractional positions:
1 P 0.000 0.000 0.500  -0.22
2 S 0.000 0.500 0.000  -0.10
3 S 0.500 0.000 0.000  -0.10
4 Cu 0.000 0.000 0.000  -0.03
5 Ti 0.500 0.500 0.500  1.27

**Crystal system**: tetragonal
**SG**: No. 123
**E**: -11.82 eV/atom
**DOS at the Fermi energy**: 0.60 states/eV/atom
**Energy relative to the elements, uncorrected**: 0.3615 eV/atom
**Calculated density**: 4.01 g/cm3

No. 2
A plane-wave DFT calculation with SCAN was carried out for a crystal of InBi3W relaxed with PBEsol.

a = 5.530 Å, b = 5.530 Å, c = 5.530 Å
α = 90.00°, β = 90.00°, γ = 90.00°
Each line ends with the local moment (μB).
Fractional positions:
1 Bi 0.000 0.500 0.000  -0.06
2 Bi 0.000 0.000 0.500  -0.06
3 Bi 0.500 0.000 0.000  -0.06
4 W 0.500 0.500 0.500  3.23
5 In 0.000 0.000 0.000  0.05

**Crystal system**: cubic
**SG**: No. 221
**E**: -65.87 eV/atom
**DOS at the Fermi energy**: 0.84 states/eV/atom
**Calculated density**: 9.09 g/cm3
**DFT formation energy**: 1.896 eV per atom

No. 3
A plane-wave DFT calculation with SCAN was carried out for a crystal of AlPCl2 relaxed with PBEsol.

a = 4.744 Å, b = 6.644 Å, c = 6.644 Å
α = 82.68°, β = 69.08°, γ = 69.08°
Each line ends with the local moment (μB).
Fractional positions:
1 P 0.000 0.000 0.000  0.78
2 P 0.750 0.500 0.500  0.78
3 Al 0.500 0.000 0.000  -0.02
4 Al 0.250 0.500 0.500  -0.02
5 Cl 0.875 0.857 0.643  0.11
6 Cl 0.375 0.143 0.357  0.11
7 Cl 0.482 0.643 0.143  0.11
8 Cl 0.268 0.357 0.857  0.11

**Crystal system**: tetragonal
**SG**: No. 122
**E**: -8.88 eV/atom
**Energy relative to the elements, uncorrected**: -0.3577 eV/atom
**Calculated density**: 2.34 g/cm3

No. 4
A plane-wave DFT calculation with SCAN was carried out for a crystal of LaZn3N relaxed with PBEsol.

a = 4.435 Å, b = 4.435 Å, c = 4.435 Å
α = 90.00°, β = 90.00°, γ = 90.00°
Fractional positions:
1 Zn 0.000 0.500 0.000
2 Zn 0.000 0.000 0.500
3 Zn 0.500 0.000 0.000
4 N 0.000 0.000 0.000
5 La 0.500 0.500 0.500

**Crystal system**: cubic
**SG**: No. 221
**E**: -18.16 eV/atom
**DOS at the Fermi energy**: 0.77 states/eV/atom
**Energy relative to the elements, uncorrected**: 0.4249 eV/atom
**Calculated density**: 6.65 g/cm3

No. 5
A plane-wave DFT calculation with SCAN was carried out for a crystal of MgBi2Sb relaxed with PBEsol.

a = 6.658 Å, b = 6.658 Å, c = 8.449 Å
α = 113.21°, β = 113.21°, γ = 90.00°
Fractional positions:
1 Sb 0.250 0.750 0.500
2 Sb 0.000 0.000 0.000
3 Mg 0.750 0.250 0.500
4 Mg 0.500 0.500 0.000
5 Bi 0.388 0.875 0.250
6 Bi 0.862 0.375 0.250
7 Bi 0.125 0.138 0.750
8 Bi 0.625 0.612 0.750

**Crystal system**: tetragonal
**SG**: No. 122
**E**: -49.70 eV/atom
**DOS at the Fermi energy**: 0.85 states/eV/atom
**Energy relative to the elements, uncorrected**: 0.1461 eV/atom
**Calculated density**: 6.02 g/cm3

No. 6
A plane-wave DFT calculation with SCAN was carried out for a crystal of BaLi2As relaxed with PBEsol.

a = 3.765 Å, b = 3.765 Å, c = 6.865 Å
α = 90.00°, β = 90.00°, γ = 90.11°
Each line ends with the local moment (μB).
Fractional positions:
1 As 0.500 0.500 0.500  0.00
2 Ba 0.500 0.500 0.000  -0.06
3 Li 0.000 0.000 0.334  -0.01
4 Li 0.000 0.000 0.666  -0.01

**Crystal system**: orthorhombic
**SG**: No. 65
**E**: -16.39 eV/atom
**DOS at the Fermi energy**: 0.59 states/eV/atom
**Calculated density**: 3.86 g/cm3
**DFT formation energy**: -0.263 eV per atom

No. 7
A plane-wave DFT calculation with SCAN was carried out for a crystal of Co2SeI relaxed with PBEsol.

a = 4.399 Å, b = 4.399 Å, c = 4.399 Å
α = 60.00°, β = 60.00°, γ = 60.00°
Each line ends with the local moment (μB).
Fractional positions:
1 I 0.500 0.500 0.500  -0.01
2 Co 0.250 0.250 0.250  0.19
3 Co 0.750 0.750 0.750  0.19
4 Se 0.000 0.000 0.000  -0.01

**Crystal system**: cubic
**SG**: No. 225
**E**: -21.91 eV/atom
**DOS at the Fermi energy**: 0.99 states/eV/atom
**Energy relative to the elements, uncorrected**: 0.9509 eV/atom
**Calculated density**: 8.93 g/cm3

No. 8
A plane-wave DFT calculation with SCAN was carried out for a crystal of LiIrBr2 relaxed with PBEsol.

a = 3.163 Å, b = 4.641 Å, c = 4.641 Å
α = 90.00°, β = 90.00°, γ = 90.00°
Fractional positions:
1 Br 0.000 0.000 0.500
2 Br 0.000 0.500 0.000
3 Ir 0.500 0.500 0.500
4 Li 0.500 0.000 0.000

**Crystal system**: tetragonal
**SG**: No. 123
**E**: -27.93 eV/atom
**DOS at the Fermi energy**: 0.48 states/eV/atom
**Energy relative to the elements, uncorrected**: 0.1769 eV/atom
**Calculated density**: 8.75 g/cm3

No. 9
A plane-wave DFT calculation with SCAN was carried out for a crystal of Sc2CuSe relaxed with PBEsol.

a = 3.321 Å, b = 4.608 Å, c = 4.554 Å
α = 90.00°, β = 90.00°, γ = 90.00°
Fractional positions:
1 Cu 0.500 0.000 0.500
2 Sc 0.000 0.000 0.000
3 Sc 0.000 0.500 0.500
4 Se 0.500 0.500 0.000

**Crystal system**: orthorhombic
**SG**: No. 47
**E**: -16.64 eV/atom
**DOS at the Fermi energy**: 0.75 states/eV/atom
**Energy relative to the elements, uncorrected**: -0.7041 eV/atom
**Calculated density**: 5.54 g/cm3

No. 10
A plane-wave DFT calculation with SCAN was carried out for a crystal of CaCuF2 relaxed with PBEsol.

a = 4.197 Å, b = 4.197 Å, c = 4.197 Å
α = 60.00°, β = 60.00°, γ = 60.00°
Each line ends with the local moment (μB).
Fractional positions:
1 Ca 0.000 0.000 0.000  0.06
2 Cu 0.500 0.500 0.500  0.14
3 F 0.250 0.250 0.250  0.06
4 F 0.750 0.750 0.750  0.06

**Crystal system**: cubic
**SG**: No. 225
**E**: -9.96 eV/atom
**DOS at the Fermi energy**: 0.52 states/eV/atom
**Energy relative to the elements, uncorrected**: -1.9752 eV/atom
**Calculated density**: 4.50 g/cm3

No. 11
A plane-wave DFT calculation with SCAN was carried out for a crystal of Ca2YRh relaxed with PBEsol.

a = 4.256 Å, b = 4.256 Å, c = 6.149 Å
α = 110.25°, β = 110.25°, γ = 90.00°
Fractional positions:
1 Y 0.000 0.000 0.000
2 Ca 0.750 0.250 0.500
3 Ca 0.250 0.750 0.500
4 Rh 0.500 0.500 0.000

**Crystal system**: tetragonal
**SG**: No. 139
**E**: -20.27 eV/atom
**DOS at the Fermi energy**: 0.79 states/eV/atom
**Calculated density**: 4.65 g/cm3
**DFT formation energy**: -0.039 eV per atom

No. 12
A plane-wave DFT calculation with SCAN was carried out for a crystal of Na2Sb2Au relaxed with PBEsol.

a = 5.087 Å, b = 7.153 Å, c = 7.153 Å
α = 90.00°, β = 90.00°, γ = 90.00°
Fractional positions:
1 Sb 0.000 0.355 0.855
2 Sb 0.000 0.855 0.645
3 Sb 0.000 0.645 0.145
4 Sb 0.000 0.145 0.355
5 Au 0.000 0.000 0.000
6 Au 0.000 0.500 0.500
7 Na 0.500 0.168 0.668
8 Na 0.500 0.668 0.832
9 Na 0.500 0.832 0.332
10 Na 0.500 0.332 0.168

**Crystal system**: tetragonal
**SG**: No. 127
**E**: -30.83 eV/atom
**DOS at the Fermi energy**: 0.25 states/eV/atom
**Energy relative to the elements, uncorrected**: -0.4103 eV/atom
**Calculated density**: 6.21 g/cm3